Record 1
Compound: ZnP2H7NO8
Source: OQMD via LeMat-Bulk
Functional: PBE
Structure: relaxed

Output
Theoretical density ... 2.53 g/cm3
Space-group type ... P2_1/c, No. 14
Final energy ... -5.829 eV/atom

The structure in extended XYZ format:
```
76
Lattice="7.494 0.000 0.000 0.000 12.934 0.000 -5.062 0.000 7.496" Properties=species:S:1:pos:R:3 pbc="T T T"
Zn -0.170 0.098 1.958
Zn -2.701 6.369 5.705
Zn 5.133 6.565 1.790
Zn 2.602 12.836 5.538
P -4.123 2.233 7.416
P -1.592 4.234 3.668
P -0.432 0.446 4.971
P 2.099 6.021 1.223
P 0.332 6.913 6.273
P 2.863 12.488 2.525
P 4.023 8.700 3.828
P 6.554 10.701 0.080
H -1.689 2.044 3.308
H -4.220 4.423 7.056
H -0.844 9.139 3.133
H -3.375 10.262 6.881
H -2.262 1.190 6.089
H 0.269 5.277 2.341
H 2.121 8.901 0.312
H -0.410 10.499 4.060
H -1.902 9.456 6.611
H 0.629 9.945 2.863
H 0.413 9.013 4.251
H 2.944 10.387 0.503
H 2.586 1.807 1.435
H 0.055 4.660 5.183
H 2.377 8.274 2.313
H -0.155 11.127 6.061
H -0.512 2.546 6.993
H 2.019 3.920 3.245
H 1.803 2.989 4.633
H 4.334 3.478 0.885
H 2.842 2.435 3.436
H 0.311 4.032 7.184
H 2.162 7.657 5.155
H 4.693 11.744 1.407
H 5.806 2.672 0.615
H 3.275 3.795 4.363
H 6.652 8.511 0.440
H 4.121 10.890 4.188
N -0.054 9.651 3.570
N -2.585 9.749 7.318
N 5.017 3.184 0.178
N 2.486 3.283 3.926
O -0.361 9.399 0.712
O -2.893 10.002 4.460
O -0.185 1.608 0.756
O -2.716 4.858 4.504
O -3.699 1.270 6.272
O -1.168 5.197 2.524
O -1.006 0.822 3.577
O -3.537 5.645 7.325
O 2.191 2.607 0.743
O -0.340 3.860 4.491
O 1.902 7.529 1.401
O -0.629 11.871 5.149
O -1.225 1.246 6.064
O 1.306 5.220 2.316
O -1.115 7.384 6.114
O 1.417 12.017 2.366
O 1.015 0.917 5.130
O 3.546 5.550 1.382
O 1.126 7.713 5.180
O 3.657 11.687 1.432
O 3.061 1.063 2.347
O 0.530 5.404 6.095
O 2.771 9.074 3.005
O 0.240 10.327 6.753
O 5.969 7.289 0.171
O 3.437 12.112 3.918
O 3.600 7.737 4.971
O 6.131 11.664 1.223
O 5.148 8.075 2.992
O 2.617 11.325 6.740
O 5.324 2.932 3.036
O 2.793 3.535 6.784
```


Record 2
Compound: GdPdW
Source: OQMD via LeMat-Bulk
Functional: PBE
Structure: relaxed

Output
M_tot ... 0.08 μB/cell
Theoretical density ... 10.98 g/cm3
Space-group type ... F-43m, No. 216
Calculated formation energy ... 644 meV per atom

The structure in extended XYZ format:
```
3
Lattice="0.000 3.234 3.234 3.234 0.000 3.234 3.234 3.234 0.000" Properties=species:S:1:pos:R:3 pbc="T T T"
Gd 0.000 0.000 0.000
Pd 1.617 1.617 1.617
W 3.234 3.234 3.234
```


Record 3
Compound: Nd3CdAg2
Source: OQMD via LeMat-Bulk
Functional: PBE
Structure: relaxed

Output
M_tot ... 0.42 μB/cell
Theoretical density ... 7.75 g/cm3
Space-group type ... P4/mmm, No. 123
Calculated formation energy ... -291 meV per atom

The structure in extended XYZ format:
```
6
Lattice="3.794 0.000 0.000 0.000 3.794 0.000 0.000 0.000 11.320" Properties=species:S:1:pos:R:3 pbc="T T T"
Nd 0.000 0.000 0.000
Nd 0.000 0.000 3.704
Nd 0.000 0.000 7.615
Cd 1.897 1.897 5.660
Ag 1.897 1.897 1.863
Ag 1.897 1.897 9.456
```


Record 4
Compound: AcZr
Source: OQMD via LeMat-Bulk
Functional: PBE
Structure: relaxed

Output
Offset from the most stable computed form ... 100.2 meV/atom
M_tot ... 0.02 μB/cell
Theoretical density ... 8.08 g/cm3
Space-group type ... P2_1/m, No. 11
Calculated formation energy ... 240 meV per atom

The structure in extended XYZ format:
```
12
Lattice="7.065 0.000 0.000 0.000 5.586 0.000 -0.521 0.000 9.940" Properties=species:S:1:pos:R:3 pbc="T T T"
Ac 0.916 1.396 1.239
Ac 1.413 1.396 7.163
Ac 2.049 4.189 9.457
Ac 4.494 1.396 0.483
Ac 5.131 4.189 2.777
Ac 5.627 4.189 8.701
Zr -0.279 4.189 5.740
Zr 1.599 4.189 3.369
Zr 3.094 1.396 4.087
Zr 3.449 4.189 5.853
Zr 4.944 1.396 6.570
Zr 6.822 1.396 4.200
```


Record 5
Compound: SrHgSeO
Source: OQMD via LeMat-Bulk
Functional: PBE
Structure: relaxed

Output
Offset from the most stable computed form ... 233.9 meV/atom
Theoretical density ... 7.23 g/cm3
Space-group type ... Cmcm, No. 63

The structure in extended XYZ format:
```
8
Lattice="2.020 -6.870 0.000 2.020 6.870 0.000 0.000 0.000 6.342" Properties=species:S:1:pos:R:3 pbc="T T T"
Sr 2.020 5.774 4.757
Sr 2.020 -5.774 1.586
Hg 2.020 1.725 4.757
Hg 2.020 -1.725 1.586
Se 2.020 3.588 1.586
Se 2.020 -3.588 4.757
O 2.020 0.000 0.000
O 2.020 0.000 3.171
```


Record 6
Compound: LuTlBiTe3
Source: OQMD via LeMat-Bulk
Functional: PBE
Structure: relaxed

Output
M_tot ... 0.01 μB/cell
Theoretical density ... 7.85 g/cm3
Space-group type ... Cmcm, No. 63
Final energy ... -3.969 eV/atom

The structure in extended XYZ format:
```
12
Lattice="2.103 -7.805 0.000 2.103 7.805 0.000 0.000 0.000 12.512" Properties=species:S:1:pos:R:3 pbc="T T T"
Lu 0.000 0.000 0.000
Lu 0.000 0.000 6.256
Tl 2.103 3.259 9.384
Tl 2.103 -3.259 3.128
Bi 2.103 1.763 3.128
Bi 2.103 -1.763 9.384
Te 2.103 7.202 3.128
Te 2.103 2.152 0.065
Te 2.103 2.152 6.191
Te 2.103 -2.152 6.322
Te 2.103 -2.152 12.447
Te 2.103 -7.202 9.384
```


Record 7
Compound: Sc2CuTe3
Source: OQMD via LeMat-Bulk
Functional: PBE
Structure: relaxed

Output
Offset from the most stable computed form ... 98.5 meV/atom
M_tot ... 2.80 μB/cell
Theoretical density ... 6.09 g/cm3
Space-group type ... Pnma, No. 62

The structure in extended XYZ format:
```
24
Lattice="8.770 0.000 0.000 0.000 4.014 0.000 0.000 0.000 16.621" Properties=species:S:1:pos:R:3 pbc="T T T"
Sc 0.456 1.003 3.598
Sc 2.138 3.010 7.882
Sc 2.247 1.003 16.192
Sc 3.929 3.010 11.908
Sc 4.842 1.003 4.713
Sc 6.524 3.010 0.429
Sc 6.632 1.003 8.739
Sc 8.314 3.010 13.023
Cu 1.218 1.003 10.549
Cu 3.167 3.010 2.238
Cu 5.604 1.003 14.383
Cu 7.552 3.010 6.072
Te 0.229 1.003 6.705
Te 0.793 3.010 1.265
Te 1.853 1.003 13.066
Te 2.532 3.010 4.755
Te 3.592 1.003 9.576
Te 4.156 3.010 15.016
Te 4.615 1.003 1.605
Te 5.178 3.010 7.045
Te 6.238 1.003 11.865
Te 6.917 3.010 3.555
Te 7.977 1.003 15.355
Te 8.541 3.010 9.916
```


Record 8
Compound: Pr2NdIn3CuPd2
Source: OQMD via LeMat-Bulk
Functional: PBE
Structure: relaxed

Output
M_tot ... 0.00 μB/cell
Theoretical density ... 8.22 g/cm3
Space-group type ... Amm2, No. 38
Final energy ... -4.732 eV/atom

The structure in extended XYZ format:
```
9
Lattice="4.021 0.000 0.000 0.000 6.753 3.896 0.000 -6.753 3.896" Properties=species:S:1:pos:R:3 pbc="T T T"
Pr 0.000 -3.974 3.896
Pr 0.000 3.974 3.896
Nd 0.000 0.000 2.986
In 2.010 0.000 0.327
In 2.010 -1.664 5.222
In 2.010 1.664 5.222
Cu 0.000 0.000 6.184
Pd 2.010 -2.240 2.296
Pd 2.010 2.240 2.296
```